Record 1
{"formula": "Tm2ZnNi7", "functional": "PBE-GGA", "state": "relaxed", "e_tot_ev_per_cell": -53.3, "magnetic_moment_mub_per_cell": 0.71, "ef_ev_per_atom": -0.258, "lattice": [[3.733, 0.000, 0.000], [0.000, 3.733, 0.000], [0.000, 0.000, 10.499]], "species": ["Tm", "Tm", "Zn", "Ni", "Ni", "Ni", "Ni", "Ni", "Ni", "Ni"], "frac_coords": [[0.000, 0.500, 0.236], [0.500, 0.000, 0.764], [0.000, 0.000, 0.500], [0.000, 0.000, 0.000], [0.000, 0.500, 0.646], [0.000, 0.500, 0.861], [0.500, 0.000, 0.139], [0.500, 0.000, 0.354], [0.500, 0.500, 0.000], [0.500, 0.500, 0.500]]}



Record 2
{"formula": "RbScNb2Re", "functional": "PBE-GGA", "state": "relaxed", "e_tot_ev_per_cell": -26.0, "magnetic_moment_mub_per_cell": 0.00, "ef_ev_per_atom": 2.783, "lattice": [[4.767, 0.000, 0.000], [0.000, 4.767, 0.000], [0.000, 0.000, 4.668]], "species": ["Rb", "Sc", "Nb", "Nb", "Re"], "frac_coords": [[0.000, 0.000, 0.000], [0.000, 0.000, 0.500], [0.000, 0.500, 0.000], [0.500, 0.000, 0.000], [0.500, 0.500, 0.500]]}



Record 3
{"formula": "Mn2NiAu", "functional": "PBE-GGA", "state": "relaxed", "e_tot_ev_per_cell": -26.7, "magnetic_moment_mub_per_cell": 7.79, "ef_ev_per_atom": 0.183, "e_above_lowest_polymorph_mev_per_atom": 181.7, "lattice": [[1.412, 0.815, 8.421], [-1.412, 0.815, 8.421], [0.000, -1.631, 8.421]], "species": ["Mn", "Mn", "Ni", "Au"], "frac_coords": [[0.243, 0.243, 0.243], [0.757, 0.757, 0.757], [0.500, 0.500, 0.500], [0.000, 0.000, 0.000]]}



Record 4
{"formula": "Na3SrC", "functional": "PBE-GGA", "state": "relaxed", "e_tot_ev_per_cell": -10.7, "magnetic_moment_mub_per_cell": 0.00, "ef_ev_per_atom": 0.826, "lattice": [[5.201, 0.000, 0.000], [0.000, 5.201, 0.000], [0.000, 0.000, 5.201]], "species": ["Na", "Na", "Na", "Sr", "C"], "frac_coords": [[0.000, 0.000, 0.500], [0.000, 0.500, 0.000], [0.500, 0.000, 0.000], [0.500, 0.500, 0.500], [0.000, 0.000, 0.000]]}



Record 5
{"formula": "PuThCu2Si2", "functional": "PBE-GGA", "state": "relaxed", "e_tot_ev_per_cell": -43.6, "formation_energy_uncorrected_ev_per_atom": -0.477, "magnetic_moment_mub_per_cell": 5.84, "lattice": [[4.136, 0.000, 0.000], [-2.068, 3.582, 0.000], [0.000, 0.000, 8.000]], "species": ["Pu", "Th", "Cu", "Cu", "Si", "Si"], "frac_coords": [[0.000, 0.000, 0.000], [0.000, 0.000, 0.500], [0.333, 0.667, 0.755], [0.667, 0.333, 0.245], [0.333, 0.667, 0.247], [0.667, 0.333, 0.753]]}



Record 6
{"formula": "Zn6Ag6Pb", "functional": "PBE-GGA", "state": "relaxed", "e_tot_ev_per_cell": -28.6, "magnetic_moment_mub_per_cell": 0.00, "ef_ev_per_atom": -0.014, "lattice": [[-2.592, 4.579, 4.789], [2.592, -4.579, 4.789], [2.592, 4.579, -4.789]], "species": ["Zn", "Zn", "Zn", "Zn", "Zn", "Zn", "Ag", "Ag", "Ag", "Ag", "Ag", "Ag", "Pb"], "frac_coords": [[0.000, 0.000, 0.500], [0.000, 0.500, 0.000], [0.239, 0.239, 0.000], [0.500, 0.000, 0.000], [0.500, 0.500, 0.500], [0.761, 0.761, 0.000], [0.195, 0.000, 0.195], [0.348, 0.500, 0.848], [0.353, 0.853, 0.500], [0.647, 0.147, 0.500], [0.652, 0.500, 0.152], [0.805, 0.000, 0.805], [0.000, 0.500, 0.500]]}



Record 7
{"formula": "Sr2ReTc", "functional": "PBE-GGA", "state": "relaxed", "e_tot_ev_per_cell": -23.9, "magnetic_moment_mub_per_cell": 0.00, "ef_ev_per_atom": 0.575, "e_above_lowest_polymorph_mev_per_atom": 263.4, "lattice": [[-1.891, 2.720, 5.308], [1.891, -2.720, 5.308], [1.891, 2.720, -5.308]], "species": ["Sr", "Sr", "Re", "Tc"], "frac_coords": [[0.000, 0.000, 0.000], [0.715, 0.215, 0.500], [0.423, 0.423, 0.000], [0.291, 0.791, 0.500]]}



Record 8
{"formula": "Tm8TlBi2", "functional": "PBE-GGA", "state": "relaxed", "e_tot_ev_per_cell": -49.0, "magnetic_moment_mub_per_cell": 0.00, "ef_ev_per_atom": -0.279, "lattice": [[9.075, -2.576, 0.000], [9.075, 2.576, 0.000], [-0.285, 0.000, 6.848]], "species": ["Tm", "Tm", "Tm", "Tm", "Tm", "Tm", "Tm", "Tm", "Tl", "Bi", "Bi"], "frac_coords": [[0.032, 0.032, 0.246], [0.214, 0.214, 0.120], [0.337, 0.337, 0.594], [0.409, 0.409, 0.060], [0.591, 0.591, 0.940], [0.663, 0.663, 0.406], [0.786, 0.786, 0.880], [0.968, 0.968, 0.754], [0.500, 0.500, 0.500], [0.161, 0.161, 0.672], [0.839, 0.839, 0.328]]}



Record 9
{"formula": "NaTl3Pd2Cl9", "functional": "PBE-GGA", "state": "relaxed", "e_tot_ev_per_cell": -47.6, "formation_energy_uncorrected_ev_per_atom": -0.814, "magnetic_moment_mub_per_cell": 0.00, "lattice": [[7.165, 0.000, 0.000], [-3.583, 6.205, 0.000], [0.000, 0.000, 8.797]], "species": ["Na", "Tl", "Tl", "Tl", "Pd", "Pd", "Cl", "Cl", "Cl", "Cl", "Cl", "Cl", "Cl", "Cl", "Cl"], "frac_coords": [[0.000, 0.000, 0.000], [0.000, 0.000, 0.500], [0.333, 0.667, 0.150], [0.667, 0.333, 0.850], [0.333, 0.667, 0.656], [0.667, 0.333, 0.344], [0.000, 0.500, 0.500], [0.174, 0.347, 0.815], [0.174, 0.826, 0.815], [0.347, 0.174, 0.185], [0.500, 0.000, 0.500], [0.500, 0.500, 0.500], [0.653, 0.826, 0.815], [0.826, 0.174, 0.185], [0.826, 0.653, 0.185]]}



Record 10
{"formula": "Ga2CoAsC", "functional": "PBE-GGA", "state": "relaxed", "e_tot_ev_per_cell": -18.3, "magnetic_moment_mub_per_cell": 3.10, "ef_ev_per_atom": 1.743, "lattice": [[4.993, 0.000, 0.000], [0.000, 4.993, 0.000], [0.000, 0.000, 4.346]], "species": ["Ga", "Ga", "Co", "As", "C"], "frac_coords": [[0.000, 0.500, 0.000], [0.500, 0.000, 0.000], [0.000, 0.000, 0.500], [0.000, 0.000, 0.000], [0.500, 0.500, 0.500]]}



Record 11
{"formula": "Rb4MgSe4O14", "functional": "PBE-GGA", "state": "relaxed", "e_tot_ev_per_cell": -115.8, "formation_energy_uncorrected_ev_per_atom": -1.174, "magnetic_moment_mub_per_cell": 0.00, "e_above_lowest_polymorph_mev_per_atom": 95.9, "lattice": [[7.293, -3.987, 0.000], [7.293, 3.987, 0.000], [-1.481, 0.000, 8.259]], "species": ["Rb", "Rb", "Rb", "Rb", "Mg", "Se", "Se", "Se", "Se", "O", "O", "O", "O", "O", "O", "O", "O", "O", "O", "O", "O", "O", "O"], "frac_coords": [[0.145, 0.145, 0.414], [0.525, 0.163, 0.212], [0.837, 0.475, 0.788], [0.855, 0.855, 0.586], [0.435, 0.565, 0.000], [0.018, 0.779, 0.097], [0.221, 0.982, 0.903], [0.396, 0.406, 0.640], [0.594, 0.604, 0.360], [0.084, 0.041, 0.732], [0.172, 0.828, 0.000], [0.175, 0.504, 0.706], [0.182, 0.167, 0.031], [0.199, 0.554, 0.112], [0.446, 0.801, 0.888], [0.467, 0.182, 0.553], [0.467, 0.533, 0.500], [0.496, 0.825, 0.294], [0.545, 0.370, 0.821], [0.630, 0.455, 0.179], [0.818, 0.533, 0.447], [0.833, 0.818, 0.969], [0.959, 0.916, 0.268]]}



Record 12
{"formula": "Cr2TcSb", "functional": "PBE-GGA", "state": "relaxed", "e_tot_ev_per_cell": -32.6, "formation_energy_uncorrected_ev_per_atom": 0.284, "magnetic_moment_mub_per_cell": 0.07, "lattice": [[3.118, 0.000, 0.000], [0.000, 3.118, 0.000], [0.000, 0.000, 6.082]], "species": ["Cr", "Cr", "Tc", "Sb"], "frac_coords": [[0.000, 0.000, 0.000], [0.500, 0.500, 0.211], [0.500, 0.500, 0.745], [0.000, 0.000, 0.476]]}



Record 13
{"formula": "Sm7Y12Th", "functional": "PBE-GGA", "state": "relaxed", "e_tot_ev_per_cell": -113.2, "magnetic_moment_mub_per_cell": 0.00, "ef_ev_per_atom": 0.241, "e_above_lowest_polymorph_mev_per_atom": 0.0, "lattice": [[6.174, 3.564, 5.162], [-6.174, 3.564, 5.162], [0.000, -7.129, 5.162]], "species": ["Sm", "Sm", "Sm", "Sm", "Sm", "Sm", "Sm", "Y", "Y", "Y", "Y", "Y", "Y", "Y", "Y", "Y", "Y", "Y", "Y", "Th"], "frac_coords": [[0.000, 0.000, 0.000], [0.120, 0.453, 0.343], [0.343, 0.120, 0.453], [0.453, 0.343, 0.120], [0.547, 0.657, 0.880], [0.657, 0.880, 0.547], [0.880, 0.547, 0.657], [0.003, 0.116, 0.648], [0.116, 0.648, 0.003], [0.215, 0.755, 0.634], [0.245, 0.366, 0.785], [0.352, 0.997, 0.884], [0.366, 0.785, 0.245], [0.634, 0.215, 0.755], [0.648, 0.003, 0.116], [0.755, 0.634, 0.215], [0.785, 0.245, 0.366], [0.884, 0.352, 0.997], [0.997, 0.884, 0.352], [0.500, 0.500, 0.500]]}



Record 14
{"formula": "ScTeCl2", "functional": "PBE-GGA", "state": "relaxed", "e_tot_ev_per_cell": -18.2, "formation_energy_uncorrected_ev_per_atom": -1.265, "magnetic_moment_mub_per_cell": 0.00, "e_above_lowest_polymorph_mev_per_atom": 244.3, "lattice": [[1.717, 0.991, 10.349], [-1.717, 0.991, 10.349], [0.000, -1.982, 10.349]], "species": ["Sc", "Te", "Cl", "Cl"], "frac_coords": [[0.000, 0.000, 0.000], [0.500, 0.500, 0.500], [0.282, 0.282, 0.282], [0.718, 0.718, 0.718]]}



Record 15
{"formula": "KNiCl2", "functional": "PBE-GGA", "state": "relaxed", "e_tot_ev_per_cell": -13.8, "formation_energy_uncorrected_ev_per_atom": -0.801, "magnetic_moment_mub_per_cell": 1.00, "e_above_lowest_polymorph_mev_per_atom": 165.9, "lattice": [[1.985, 1.146, 6.534], [-1.985, 1.146, 6.534], [0.000, -2.292, 6.534]], "species": ["K", "Ni", "Cl", "Cl"], "frac_coords": [[0.000, 0.000, 0.000], [0.500, 0.500, 0.500], [0.229, 0.229, 0.229], [0.771, 0.771, 0.771]]}



Record 16
{"formula": "Ac4TlSnO", "functional": "PBE-GGA", "state": "relaxed", "e_tot_ev_per_cell": -70.6, "formation_energy_uncorrected_ev_per_atom": -1.077, "magnetic_moment_mub_per_cell": 0.01, "lattice": [[3.588, -9.240, 0.000], [3.588, 9.240, 0.000], [0.000, 0.000, 7.165]], "species": ["Ac", "Ac", "Ac", "Ac", "Ac", "Ac", "Ac", "Ac", "Tl", "Tl", "Sn", "Sn", "O", "O"], "frac_coords": [[0.000, 0.500, 0.000], [0.000, 0.500, 0.500], [0.065, 0.935, 0.750], [0.423, 0.577, 0.750], [0.500, 0.000, 0.000], [0.500, 0.000, 0.500], [0.577, 0.423, 0.250], [0.935, 0.065, 0.250], [0.115, 0.885, 0.250], [0.885, 0.115, 0.750], [0.386, 0.614, 0.250], [0.614, 0.386, 0.750], [0.288, 0.712, 0.750], [0.712, 0.288, 0.250]]}



Record 17
{"formula": "IrBr2Cl", "functional": "PBE-GGA", "state": "relaxed", "e_tot_ev_per_cell": -12.6, "formation_energy_uncorrected_ev_per_atom": 0.371, "magnetic_moment_mub_per_cell": 0.67, "e_above_lowest_polymorph_mev_per_atom": 553.8, "lattice": [[1.808, -4.758, 0.000], [1.808, 4.758, 0.000], [0.000, 0.000, 8.686]], "species": ["Ir", "Br", "Br", "Cl"], "frac_coords": [[0.000, 0.000, 0.000], [0.500, 0.500, 0.185], [0.500, 0.500, 0.815], [0.000, 0.000, 0.500]]}



Record 18
{"formula": "RbSiSbI2", "functional": "PBE-GGA", "state": "relaxed", "e_tot_ev_per_cell": -14.5, "formation_energy_uncorrected_ev_per_atom": -0.175, "magnetic_moment_mub_per_cell": 1.60, "e_above_lowest_polymorph_mev_per_atom": 0.0, "lattice": [[5.933, 0.000, 0.000], [0.000, 5.933, 0.000], [0.000, 0.000, 5.498]], "species": ["Rb", "Si", "Sb", "I", "I"], "frac_coords": [[0.000, 0.000, 0.000], [0.500, 0.500, 0.500], [0.500, 0.500, 0.000], [0.000, 0.500, 0.500], [0.500, 0.000, 0.500]]}



Record 19
{"formula": "K3Sr5", "functional": "PBE-GGA", "state": "relaxed", "e_tot_ev_per_cell": -11.4, "magnetic_moment_mub_per_cell": 0.00, "ef_ev_per_atom": 0.035, "e_above_lowest_polymorph_mev_per_atom": 0.0, "lattice": [[2.382, -3.467, 0.000], [2.382, 3.467, 0.000], [0.000, 0.000, 28.687]], "species": ["K", "K", "K", "Sr", "Sr", "Sr", "Sr", "Sr"], "frac_coords": [[0.000, 0.000, 0.000], [0.500, 0.500, 0.136], [0.500, 0.500, 0.864], [0.000, 0.000, 0.265], [0.000, 0.000, 0.500], [0.000, 0.000, 0.735], [0.500, 0.500, 0.382], [0.500, 0.500, 0.618]]}



Record 20
{"formula": "MnFe2Ni", "functional": "PBE-GGA", "state": "relaxed", "e_tot_ev_per_cell": -31.6, "magnetic_moment_mub_per_cell": 3.25, "ef_ev_per_atom": 0.064, "lattice": [[1.245, 0.719, 8.275], [-1.245, 0.719, 8.275], [0.000, -1.438, 8.275]], "species": ["Mn", "Fe", "Fe", "Ni"], "frac_coords": [[0.000, 0.000, 0.000], [0.254, 0.254, 0.254], [0.501, 0.501, 0.501], [0.751, 0.751, 0.751]]}



Record 21
{"formula": "SbTeCI2", "functional": "PBE-GGA", "state": "relaxed", "e_tot_ev_per_cell": -14.1, "formation_energy_uncorrected_ev_per_atom": 1.099, "magnetic_moment_mub_per_cell": 0.00, "e_above_lowest_polymorph_mev_per_atom": 0.0, "lattice": [[5.048, 0.000, 0.000], [0.000, 5.048, 0.000], [0.000, 0.000, 4.966]], "species": ["Sb", "Te", "C", "I", "I"], "frac_coords": [[0.000, 0.000, 0.000], [0.500, 0.500, 0.000], [0.500, 0.500, 0.500], [0.000, 0.500, 0.500], [0.500, 0.000, 0.500]]}



Record 22
{"formula": "Ti2MoH3", "functional": "PBE-GGA", "state": "relaxed", "e_tot_ev_per_cell": -38.2, "magnetic_moment_mub_per_cell": 0.00, "lattice": [[4.416, -2.030, 0.000], [4.416, 2.030, 0.000], [-0.644, 0.000, 3.024]], "species": ["Ti", "Ti", "Mo", "H", "H", "H"], "frac_coords": [[0.165, 0.165, 0.173], [0.835, 0.835, 0.827], [0.500, 0.500, 0.500], [0.000, 0.000, 0.500], [0.353, 0.353, 0.893], [0.647, 0.647, 0.107]]}



Record 23
{"formula": "Ca3ReRu", "functional": "PBE-GGA", "state": "relaxed", "e_tot_ev_per_cell": -20.6, "magnetic_moment_mub_per_cell": 3.00, "ef_ev_per_atom": 1.425, "e_above_lowest_polymorph_mev_per_atom": 258.0, "lattice": [[5.395, 0.000, 0.000], [0.000, 5.395, 0.000], [0.000, 0.000, 5.395]], "species": ["Ca", "Ca", "Ca", "Re", "Ru"], "frac_coords": [[0.000, 0.000, 0.500], [0.000, 0.500, 0.000], [0.500, 0.000, 0.000], [0.000, 0.000, 0.000], [0.500, 0.500, 0.500]]}